This record from Alexandria via LeMat-Bulk describes a relaxed structure of SnBiAs2. The functional is PBE.

Crystal system: trigonal
ΔE to the lowest computed polymorph in kcal/mol of atoms: 1.34
E_tot in eV/atom: -4.25
Spin magnetization in μB/f.u.: 0.00
ΔH_f (0 K) in eV per atom: 0.04

Lattice parameters (Å, degrees): 4.069 4.069 8.046 75.36 75.36 60.00
Fractional positions:
1 Bi 0.675 0.675 0.975
2 As 0.238 0.238 0.285
3 As 0.078 0.078 0.765
4 Sn 0.508 0.508 0.475